(1)
The following is a DFT calculation (PBE-GGA) of a geometry-optimized TaAuSeBr2 structure.

Results
Uncorrected formation energy   129 meV/atom
Final energy   -4.26 eV per atom

Lattice parameters (Å, degrees): 5.1459 5.1459 4.9981 90.00 90.00 90.00
Last column: nearest neighbours and their distance in Å.
Positions (direct):
Ta: 0.0000 0.0000 0.0000  2 Se 2.50, 4 Br 2.57
Au: 0.5000 0.5000 0.5000  8 Br 3.59, 4 Se 3.64
Se: 0.0000 0.0000 0.5000  2 Ta 2.50
Br: 0.0000 0.5000 0.0000  2 Ta 2.57
Br: 0.5000 0.0000 0.0000  2 Ta 2.57

---

(2)
The following is a DFT calculation (PBE-GGA) of a geometry-optimized TaAuSe2Br structure.

Results
Uncorrected formation energy   1087 meV/atom
Final energy   -3.67 eV per atom

Lattice parameters (Å, degrees): 5.0963 5.0963 4.9884 90.00 90.00 90.00
Last column: nearest neighbours and their distance in Å.
Positions (direct):
Ta: 0.0000 0.0000 0.0000  8 Se 3.57, 4 Br 3.60
Au: 0.5000 0.5000 0.5000  2 Br 2.49, 4 Se 2.55
Se: 0.0000 0.5000 0.5000  2 Au 2.55
Se: 0.5000 0.0000 0.5000  2 Au 2.55
Br: 0.5000 0.5000 0.0000  2 Au 2.49

---

(3)
The following is a DFT calculation (PBE-GGA) of a geometry-optimized TaAuSeBr2 structure.

Results
Uncorrected formation energy   1074 meV/atom
Final energy   -3.32 eV per atom

Lattice parameters (Å, degrees): 5.1063 5.1063 5.2518 90.00 90.00 90.00
Last column: nearest neighbours and their distance in Å.
Positions (direct):
Ta: 0.0000 0.0000 0.0000  4 Se 3.61, 8 Br 3.66
Au: 0.5000 0.5000 0.5000  4 Br 2.55, 2 Se 2.63
Se: 0.5000 0.5000 0.0000  2 Au 2.63
Br: 0.0000 0.5000 0.5000  2 Au 2.55
Br: 0.5000 0.0000 0.5000  2 Au 2.55

---

Number 1: D(E_F) 3.26 states/eV per cell. Number 2: D(E_F) 5.48 states/eV per cell. Number 3: D(E_F) 5.81 states/eV per cell.